BaAgH6Pt: optimized geometry, PBE.

Summary:
total energy	-3.692	eV/atom
V	106	Å³/f.u.
magnetic moment	0.00	μB/f.u.
SG	No. 187

Cell: 5.062 5.062 4.778 Å, 90.00 90.00 60.00°
Fractional positions:
Ba  0.000  0.000  0.000
Ag  0.667  0.667  0.500
H  0.036  0.482  0.261
H  0.482  0.036  0.739
H  0.482  0.482  0.739
H  0.036  0.482  0.739
H  0.482  0.482  0.261
H  0.482  0.036  0.261
Pt  0.333  0.333  0.500



Ba2AgHPt: optimized geometry, PBE.

Summary:
total energy	-3.613	eV/atom
V	125	Å³/f.u.
magnetic moment	0.00	μB/f.u.
SG	No. 123

Cell: 5.525 5.525 4.107 Å, 90.00 90.00 90.00°
Fractional positions:
Ag  0.000  0.000  0.500
Ba  0.000  0.500  0.000
Ba  0.500  0.000  0.000
Pt  0.500  0.500  0.500
H  0.000  0.000  0.000



BaAgH8Pt2: optimized geometry, PBE.

Summary:
total energy	-3.719	eV/atom
V	134	Å³/f.u.
magnetic moment	0.00	μB/f.u.
SG	No. 148

Cell: 5.013 5.013 6.812 Å, 68.41 68.41 60.00°
Fractional positions:
Ba  0.500  0.500  0.500
Ag  0.000  0.000  0.000
H  0.197  0.197  0.410
H  0.611  0.296  0.157
H  0.803  0.803  0.590
H  0.937  0.611  0.157
H  0.063  0.389  0.843
H  0.296  0.937  0.157
H  0.704  0.063  0.843
H  0.389  0.704  0.843
Pt  0.285  0.285  0.146
Pt  0.715  0.715  0.854



Ba5Ag2HPt: optimized geometry, PBE.

Summary:
total energy	-3.137	eV/atom
V	341	Å³/f.u.
magnetic moment	0.00	μB/f.u.
SG	No. 36

Cell: 4.631 10.378 14.546 Å, 90.00 90.00 102.89°
Fractional positions:
Ba  0.350  0.701  0.019
Ba  0.690  0.379  0.876
Ba  0.499  0.999  0.768
Ba  0.298  0.596  0.671
Ba  0.956  0.912  0.505
Ba  0.650  0.299  0.519
Ba  0.310  0.621  0.376
Ba  0.501  0.001  0.268
Ba  0.702  0.404  0.171
Ba  0.044  0.088  0.005
Ag  0.878  0.756  0.835
Ag  0.119  0.237  0.701
Ag  0.122  0.244  0.335
Ag  0.881  0.763  0.201
H  0.559  0.117  0.925
H  0.441  0.883  0.425
Pt  0.803  0.605  0.524
Pt  0.197  0.395  0.024



Ba2AgH6Rh: optimized geometry, PBE.

Summary:
total energy	-3.760	eV/atom
V	149	Å³/f.u.
magnetic moment	0.00	μB/f.u.
SG	No. 164

Cell: 5.349 5.672 5.672 Å, 120.00 90.00 90.00°
Fractional positions:
Ba  0.234  0.333  0.667
Ba  0.766  0.667  0.333
Ag  0.500  0.000  0.000
H  0.813  0.149  0.298
H  0.813  0.149  0.851
H  0.813  0.702  0.851
H  0.187  0.851  0.149
H  0.187  0.298  0.149
H  0.187  0.851  0.702
Rh  0.000  0.000  0.000



Ba2AgHRh: optimized geometry, PBE.

Summary:
total energy	-3.787	eV/atom
V	138	Å³/f.u.
magnetic moment	0.00	μB/f.u.
SG	No. 11

Cell: 4.526 6.934 9.248 Å, 108.46 90.00 90.00°
Fractional positions:
Ba  0.750  0.771  0.599
Ba  0.750  0.752  0.033
Ba  0.250  0.229  0.401
Ba  0.250  0.248  0.967
Ag  0.250  0.672  0.296
Ag  0.750  0.328  0.704
H  0.250  0.832  0.844
H  0.750  0.168  0.156
Rh  0.250  0.578  0.769
Rh  0.750  0.422  0.231